# 1
A plane-wave DFT calculation with PBE-GGA was carried out for DyNiP after structural relaxation.

The structure belongs to space group P6_3/mmc (No. 194); the cell edges are 3.8848, 3.8848 and 7.7788 Å and the angles 90.00°, 90.00° and 120.00°. Symmetry generates all atoms from Dy at (0.0000, 0.0000, 0.0000), Ni at (0.3333, 0.6667, 0.2500) and P at (0.3333, 0.6667, 0.7500).

The electronic total energy is -6.486 eV per atom.

# 2
A plane-wave DFT calculation with PBE-GGA was carried out for SrEuPAu after structural relaxation.

The structure belongs to space group F-43m (No. 216); the cell edges are 7.453, 7.453 and 7.453 Å and the angles 90.00°, 90.00° and 90.00°. Symmetry generates all atoms from Sr at (0.000, 0.000, 0.000), Eu at (0.000, 0.000, 0.500), P at (0.250, 0.250, 0.250) and Au at (0.250, 0.250, 0.750).

The electronic total energy is -6.071 eV per atom.

# 3
A plane-wave DFT calculation with PBE-GGA was carried out for Pm2SmSi2Pt7 after structural relaxation.

The structure belongs to space group C2/m (No. 12); the cell edges are 5.833, 5.772 and 13.885 Å and the angles 90.00°, 98.01° and 90.00°. Symmetry generates all atoms from Pm at (0.107, 0.000, 0.357), Sm at (0.000, 0.000, 0.000), Si at (0.087, 0.500, 0.254), Pt at (0.000, 0.500, 0.000), Pt at (0.120, 0.500, 0.425) and Pt at (0.195, 0.251, 0.838).

For the formation energy from raw total energies, the calculation gives -104 kJ per mole of atoms.